Material: LiCoPO4
Method: DFT, PBEsol
State: relaxed

```
42
Lattice="-7.320 0.540 -4.172 2.400 -8.095 -0.024 -1.416 2.254 8.012" Properties=species:S:1:pos:R:3 pbc="T T T"
O -4.977 -2.660 4.889
O -2.437 -0.930 3.706
O -3.327 0.447 1.194
O -0.869 -5.704 6.314
O -4.275 -1.498 -0.136
O -7.547 0.599 3.980
O -3.391 -5.983 2.906
O -5.320 -6.385 -2.022
O -0.243 -1.970 2.959
O -1.397 -5.455 -0.953
O -1.211 -4.199 1.201
O -5.524 -3.854 -1.904
O -1.114 1.365 5.470
O -1.772 -2.946 -0.936
O -3.477 -4.486 0.159
O -2.040 -3.380 4.081
O -0.757 -1.631 5.421
O -5.139 -1.046 2.177
O 1.437 -5.564 0.080
O -5.074 0.225 -2.690
O -0.407 -5.851 3.819
O -5.127 0.457 4.743
O -5.681 0.533 0.251
O -6.391 -3.702 1.094
Li -4.352 -1.102 3.916
Li -6.548 0.219 -1.449
Li -1.372 -0.199 6.565
Li -0.069 -6.702 -0.305
Li -4.950 -3.311 -0.146
Li -1.800 -4.873 2.915
Co -6.752 -2.135 2.168
Co -3.465 -3.777 5.346
Co -2.940 -1.498 -1.529
Co -2.225 0.748 2.777
Co -4.102 -6.066 1.109
Co 0.405 -3.231 1.618
P -5.059 -5.052 -2.776
P -6.243 1.406 4.228
P -1.975 -4.263 -0.145
P -4.601 -0.382 0.886
P -1.358 -1.991 4.036
P 0.227 -5.617 5.217
```

Output
Its raw total energy is -7.065 eV/atom. The total moment is 18.0 μB/cell.